# 1
VASP calculation (PBE-GGA) on a geometry-optimized TcIr2Au2 structure.

CIF file:
```
data_TcIr2Au2
_cell_length_a 7.523
_cell_length_b 7.523
_cell_length_c 2.953
_cell_angle_alpha 90.00
_cell_angle_beta 90.00
_cell_angle_gamma 90.00
_space_group_name_H-M_alt 'P 1'
_space_group_IT_number 1
loop_
_space_group_symop_operation_xyz
'x,y,z'
loop_
_atom_site_label
_atom_site_fract_x
_atom_site_fract_y
_atom_site_fract_z
Tc1 0.000 0.000 0.000
Tc2 0.500 0.500 0.000
Ir1 0.167 0.333 0.500
Ir2 0.333 0.833 0.500
Ir3 0.667 0.167 0.500
Ir4 0.833 0.667 0.500
Au1 0.134 0.634 0.000
Au2 0.366 0.134 0.000
Au3 0.634 0.866 0.000
Au4 0.866 0.366 0.000
```

Crystal system   tetragonal

=====

# 2
VASP calculation (PBE-GGA) on a geometry-optimized TcIrAu2 structure.

CIF file:
```
data_TcIrAu2
_cell_length_a 4.912
_cell_length_b 4.912
_cell_length_c 4.912
_cell_angle_alpha 132.07
_cell_angle_beta 132.07
_cell_angle_gamma 70.11
_space_group_name_H-M_alt 'P 1'
_space_group_IT_number 1
loop_
_space_group_symop_operation_xyz
'x,y,z'
loop_
_atom_site_label
_atom_site_fract_x
_atom_site_fract_y
_atom_site_fract_z
Tc1 0.000 0.000 0.000
Ir1 0.750 0.250 0.500
Au1 0.250 0.750 0.500
Au2 0.500 0.500 0.000
```

Crystal system   tetragonal

=====

# 3
VASP calculation (PBE-GGA) on a geometry-optimized TcIrAu2 structure.

CIF file:
```
data_TcIrAu2
_cell_length_a 2.780
_cell_length_b 4.836
_cell_length_c 4.920
_cell_angle_alpha 90.00
_cell_angle_beta 90.00
_cell_angle_gamma 90.00
_space_group_name_H-M_alt 'P 1'
_space_group_IT_number 1
loop_
_space_group_symop_operation_xyz
'x,y,z'
loop_
_atom_site_label
_atom_site_fract_x
_atom_site_fract_y
_atom_site_fract_z
Tc1 0.000 0.000 0.000
Ir1 0.500 0.500 0.000
Au1 0.000 0.500 0.500
Au2 0.500 0.000 0.500
```

Crystal system   orthorhombic

=====

Calculated theoretical density in order - 17.41; 17.75; 17.18 g/cm3
Calculated total energy in order - -6.053; -6.073; -5.968 eV per atom
Calculated ΔH_f (0 K) in order - 0.88; 0.37; 0.48 eV/atom